Record 1
# Ba4Cu2Pt | the Alexandria database | GGA-PBE | optimized geometry
data_Ba4Cu2Pt
_cell_length_a 6.284
_cell_length_b 6.284
_cell_length_c 8.787
_cell_angle_alpha 69.05
_cell_angle_beta 69.05
_cell_angle_gamma 90.00
_symmetry_space_group_name_H-M 'P 1'
_symmetry_Int_Tables_number 1
_symmetry_space_group_name_Hall 'P 1'
loop_
_atom_site_label
_atom_site_type_symbol
_atom_site_fract_x
_atom_site_fract_y
_atom_site_fract_z
Cu1 Cu 0.420 0.420 0.160
Ba1 Ba 0.500 0.000 0.000
Ba2 Ba 0.000 0.500 0.000
Pt1 Pt 0.000 0.000 0.000
Ba3 Ba 0.793 0.793 0.414
Cu2 Cu 0.580 0.580 0.840
Ba4 Ba 0.207 0.207 0.586
# M_tot = 0.00 μB/f.u.
# Symmetry = I4/mmm, No. 139
# Total energy = -22.931 eV/f.u.
# Crystal system = tetragonal
# Formation enthalpy at 0 K = -0.14 eV per atom

=====

Record 2
# Ce7CCl12 | the Alexandria database | GGA-PBE | optimized geometry
data_Ce7CCl12
_cell_length_a 8.918
_cell_length_b 8.918
_cell_length_c 8.918
_cell_angle_alpha 107.48
_cell_angle_beta 107.48
_cell_angle_gamma 107.48
_symmetry_space_group_name_H-M 'P 1'
_symmetry_Int_Tables_number 1
_symmetry_space_group_name_Hall 'P 1'
loop_
_atom_site_label
_atom_site_type_symbol
_atom_site_fract_x
_atom_site_fract_y
_atom_site_fract_z
Ce1 Ce 0.883 0.965 0.684
Cl1 Cl 0.385 0.476 0.156
Cl2 Cl 0.156 0.385 0.476
Cl3 Cl 0.078 0.686 0.218
Ce2 Ce 0.500 0.500 0.500
Cl4 Cl 0.476 0.156 0.385
Ce3 Ce 0.035 0.316 0.117
Cl5 Cl 0.218 0.078 0.686
Cl6 Cl 0.615 0.524 0.844
Ce4 Ce 0.316 0.117 0.035
Ce5 Ce 0.965 0.684 0.883
Cl7 Cl 0.844 0.615 0.524
Cl8 Cl 0.922 0.314 0.782
Ce6 Ce 0.684 0.883 0.965
Ce7 Ce 0.117 0.035 0.316
C1 C 0.000 0.000 0.000
Cl9 Cl 0.782 0.922 0.314
Cl10 Cl 0.314 0.782 0.922
Cl11 Cl 0.524 0.844 0.615
Cl12 Cl 0.686 0.218 0.078
# M_tot = 9.60 μB/f.u.
# Symmetry = R-3, No. 148
# Total energy = -109.373 eV/f.u.
# Crystal system = trigonal

=====

Record 3
# SrTl2W | the Alexandria database | GGA-PBE | optimized geometry
data_SrTl2W
_cell_length_a 3.701
_cell_length_b 3.897
_cell_length_c 7.902
_cell_angle_alpha 90.00
_cell_angle_beta 90.00
_cell_angle_gamma 90.00
_symmetry_space_group_name_H-M 'P 1'
_symmetry_Int_Tables_number 1
_symmetry_space_group_name_Hall 'P 1'
loop_
_atom_site_label
_atom_site_type_symbol
_atom_site_fract_x
_atom_site_fract_y
_atom_site_fract_z
Tl1 Tl 0.000 0.000 0.049
Tl2 Tl 0.500 0.500 0.315
W1 W 0.000 0.000 0.416
Sr1 Sr 0.500 0.500 0.721
# M_tot = 0.00 μB/f.u.
# Symmetry = Pmm2, No. 25
# Total energy = -16.282 eV/f.u.
# Crystal system = orthorhombic
# Formation enthalpy at 0 K = 0.77 eV per atom

=====

Record 4
# Th2Co5B2 | the Alexandria database | GGA-PBE | optimized geometry
data_Th2Co5B2
_cell_length_a 3.856
_cell_length_b 6.611
_cell_length_c 6.183
_cell_angle_alpha 120.08
_cell_angle_beta 90.00
_cell_angle_gamma 106.95
_symmetry_space_group_name_H-M 'P 1'
_symmetry_Int_Tables_number 1
_symmetry_space_group_name_Hall 'P 1'
loop_
_atom_site_label
_atom_site_type_symbol
_atom_site_fract_x
_atom_site_fract_y
_atom_site_fract_z
Co1 Co 0.691 0.381 0.018
Co2 Co 0.000 0.000 0.000
Th1 Th 0.389 0.777 0.597
Co3 Co 0.924 0.849 0.294
Co4 Co 0.076 0.151 0.706
B1 B 0.180 0.359 0.089
B2 B 0.820 0.641 0.911
Co5 Co 0.309 0.619 0.982
Th2 Th 0.611 0.223 0.403
# M_tot = 1.76 μB/f.u.
# Symmetry = C2/m, No. 12
# Total energy = -65.870 eV/f.u.
# Crystal system = monoclinic
# Formation enthalpy at 0 K = -0.24 eV per atom